(1)
NdSmV: optimized geometry, GGA-PBE.

Output
E_form ... 0.474 eV per atom
Density ... 6.31 g/cm³
Space-group type ... No. 129

```
6
Lattice="4.957 0.000 0.000 0.000 4.957 0.000 0.000 0.000 7.401" Properties=species:S:1:pos:R:3 pbc="T T T"
Nd 0.000 2.479 5.341
Sm 0.000 2.479 1.606
V 0.000 0.000 0.000
V 2.479 2.479 0.000
Nd 2.479 0.000 2.061
Sm 2.479 0.000 5.795
```



(2)
K3Tl2Sn2Sb4: optimized geometry, GGA-PBE.

Output
Uncorrected formation energy ... -200 kJ/mol of formula units
Density ... 5.05 g/cm³
Space-group type ... No. 164

```
11
Lattice="-3.938 -2.506 2.514 3.434 -2.753 -2.955 9.951 -2.088 13.508" Properties=species:S:1:pos:R:3 pbc="T T T"
Sn 2.800 -3.486 6.501
Sb -0.096 -2.879 2.570
Sb 4.529 -3.849 8.847
Tl 2.361 -2.961 0.747
K 0.000 0.000 0.000
Tl 7.087 -4.386 12.319
K 2.755 -0.578 3.739
K 7.197 -1.510 9.769
Sn 6.647 -3.861 6.565
Sb 9.544 -4.468 10.496
Sb 4.919 -3.498 4.219
```



(3)
MnSi2As: optimized geometry, GGA-PBE.

Output
Uncorrected formation energy ... 130 kJ/mol of formula units
Density ... 4.83 g/cm³
Space-group type ... No. 123

```
4
Lattice="5.113 0.000 0.000 0.000 3.538 0.000 0.000 0.000 3.538" Properties=species:S:1:pos:R:3 pbc="T T T"
Si 0.000 0.000 0.000
Si 0.000 1.769 1.769
As 2.557 1.769 0.000
Mn 2.557 0.000 1.769
```



(4)
KLi3Mg: optimized geometry, GGA-PBE.

Output
E_form ... 0.688 eV per atom
Density ... 0.88 g/cm³
Space-group type ... No. 221

```
5
Lattice="-3.385 -2.227 -3.591 2.098 -4.880 1.049 -3.668 -0.736 3.914" Properties=species:S:1:pos:R:3 pbc="T T T"
Li -1.693 -1.113 -1.796
K 0.000 0.000 0.000
Li -1.834 -0.368 1.957
Mg -2.478 -3.921 0.686
Li 1.049 -2.440 0.524
```



(5)
Zr2MnRe3: optimized geometry, GGA-PBE.

Output
E_form ... -0.330 eV per atom
Density ... 12.84 g/cm³
Space-group type ... No. 166

```
6
Lattice="-4.561 1.614 1.978 1.106 -5.106 -0.181 4.474 0.876 2.690" Properties=species:S:1:pos:R:3 pbc="T T T"
Zr 3.457 -2.022 2.717
Mn 0.000 0.000 0.000
Re -0.044 1.245 2.334
Zr -2.438 -0.594 1.770
Re 2.237 0.438 1.345
Re 0.509 -1.308 2.244
```



(6)
Ir3Os: optimized geometry, GGA-PBE.

Output
E_form ... 2.414 eV per atom
Density ... 11.88 g/cm³
Space-group type ... No. 221

```
4
Lattice="-4.338 1.601 -1.087 -1.441 -0.889 4.439 1.293 4.383 1.297" Properties=species:S:1:pos:R:3 pbc="T T T"
Ir -0.720 -0.444 2.219
Ir 0.646 2.192 0.649
Ir -2.169 0.801 -0.544
Os 0.000 0.000 0.000
```



(7)
ReSbI2N: optimized geometry, GGA-PBE.

Output
Uncorrected formation energy ... 934 kJ/mol of formula units
Density ... 6.44 g/cm³
Space-group type ... No. 123

```
5
Lattice="5.367 0.000 0.000 0.000 5.367 0.000 0.000 0.000 5.150" Properties=species:S:1:pos:R:3 pbc="T T T"
N 2.684 2.684 2.575
Re 0.000 0.000 0.000
I 2.684 0.000 0.000
I 0.000 2.684 0.000
Sb 0.000 0.000 2.575
```



(8)
Ba2TlIn3Pt4: optimized geometry, GGA-PBE.

Output
E_form ... -0.620 eV per atom
Density ... 10.43 g/cm³
Space-group type ... No. 115

```
10
Lattice="-2.886 0.821 3.824 -3.834 0.350 -2.968 -1.725 -10.618 0.977" Properties=species:S:1:pos:R:3 pbc="T T T"
In -2.966 -8.966 2.775
Tl -4.222 -4.724 0.917
In -0.863 -5.309 0.489
Ba -3.236 -7.942 -0.737
Pt -3.360 0.585 0.428
Pt -2.552 -3.734 -1.124
Pt 0.000 0.000 0.000
Ba -1.849 -2.090 2.142
Pt -2.533 -6.299 2.530
In -2.119 -1.067 -1.370
```



(9)
Li2AsHAu: optimized geometry, GGA-PBE.

Output
Density ... 7.21 g/cm³
Total DFT energy (no corrections) ... -16.5 eV per cell
Space-group type ... No. 123

```
5
Lattice="-2.921 -2.836 -0.721 1.388 -0.446 -3.869 2.409 -2.783 1.185" Properties=species:S:1:pos:R:3 pbc="T T T"
H 0.000 0.000 0.000
Li -1.460 -1.418 -0.360
As 1.205 -1.391 0.592
Au 0.438 -3.032 -1.702
Li 0.694 -0.223 -1.934
```



(10)
Pm2AlZn6: optimized geometry, GGA-PBE.

Output
E_form ... -0.324 eV per atom
Density ... 6.87 g/cm³
Space-group type ... No. 164

```
9
Lattice="-5.547 -1.712 0.818 0.512 -3.762 -4.399 1.310 -1.664 5.414" Properties=species:S:1:pos:R:3 pbc="T T T"
Zn -1.475 -2.218 -0.324
Zn -2.488 -3.166 4.207
Zn -1.236 -3.972 -2.374
Al 0.000 0.000 0.000
Zn -0.626 -4.747 0.149
Zn -2.250 -4.919 2.156
Pm 0.207 -2.621 2.266
Zn -3.099 -2.391 1.684
Pm -3.932 -4.516 -0.434
```



(11)
KBC: optimized geometry, GGA-PBE.

Output
E_form ... 0.773 eV per atom
Density ... 1.84 g/cm³
Space-group type ... No. 6

```
6
Lattice="6.513 0.000 0.002 0.000 3.374 0.000 2.259 0.000 5.101" Properties=species:S:1:pos:R:3 pbc="T T T"
K 0.793 1.687 1.004
B 3.744 0.000 3.537
C 3.116 0.000 2.113
K 6.357 1.687 4.399
B 4.623 0.000 2.080
C 2.221 0.000 3.171
```



(12)
Fe2HIrPd: optimized geometry, GGA-PBE.

Output
Density ... 11.97 g/cm³
Total DFT energy (no corrections) ... -34.2 eV per cell
Space-group type ... No. 123

```
5
Lattice="-0.548 3.840 -0.455 -0.935 -0.578 -3.748 -3.595 -0.400 0.958" Properties=species:S:1:pos:R:3 pbc="T T T"
Fe -0.467 -0.289 -1.874
Fe -0.274 1.920 -0.228
Ir -1.798 -0.200 0.479
H 0.000 0.000 0.000
Pd -2.539 1.431 -1.622
```



(13)
Zr2ScH2: optimized geometry, GGA-PBE.

Output
Density ... 5.03 g/cm³
Total DFT energy (no corrections) ... -31.2 eV per cell
Space-group type ... No. 139

```
5
Lattice="3.842 0.000 0.000 0.000 3.842 0.000 1.921 1.921 5.128" Properties=species:S:1:pos:R:3 pbc="T T T"
Zr 3.842 3.842 3.372
H 1.921 3.842 2.564
Zr 1.921 1.921 1.755
H 3.842 1.921 2.564
Sc 0.000 0.000 0.000
```



(14)
MnCdAs3: optimized geometry, GGA-PBE.

Output
E_form ... 0.331 eV per atom
Density ... 6.30 g/cm³
Space-group type ... No. 221

```
5
Lattice="4.692 0.000 0.000 0.000 4.692 0.000 0.000 0.000 4.692" Properties=species:S:1:pos:R:3 pbc="T T T"
As 0.000 0.000 2.346
Cd 2.346 2.346 2.346
Mn 0.000 0.000 0.000
As 2.346 0.000 0.000
As 0.000 2.346 0.000
```



(15)
SrZr4: optimized geometry, GGA-PBE.

Output
E_form ... 1.711 eV per atom
Density ... 5.55 g/cm³
Space-group type ... No. 221

```
5
Lattice="5.133 0.000 0.000 0.000 5.133 0.000 0.000 0.000 5.133" Properties=species:S:1:pos:R:3 pbc="T T T"
Sr 2.567 2.567 2.567
Zr 2.567 2.567 0.000
Zr 2.567 0.000 2.567
Zr 0.000 0.000 0.000
Zr 0.000 2.567 2.567
```



(16)
BaHgOs: optimized geometry, GGA-PBE.

Output
E_form ... 0.904 eV per atom
Density ... 10.31 g/cm³
Space-group type ... No. 216

```
3
Lattice="4.937 0.000 0.000 2.469 4.276 0.000 2.469 1.425 4.031" Properties=species:S:1:pos:R:3 pbc="T T T"
Hg 4.937 2.851 2.016
Ba 0.000 0.000 0.000
Os 7.406 4.276 3.023
```



(17)
NdPbI: optimized geometry, GGA-PBE.

Output
Uncorrected formation energy ... -202 kJ/mol of formula units
Density ... 6.64 g/cm³
Space-group type ... No. 12

```
6
Lattice="4.737 -0.328 0.126 2.083 4.268 0.126 0.717 0.414 11.467" Properties=species:S:1:pos:R:3 pbc="T T T"
I 2.813 1.625 9.752
I 4.724 2.729 1.967
Nd 0.227 0.131 3.582
Pb 5.003 2.890 6.293
Nd 7.310 4.223 8.138
Pb 2.534 1.464 5.427
```



(18)
Na4Hf3NiTe8: optimized geometry, GGA-PBE.

Output
Uncorrected formation energy ... -1116 kJ/mol of formula units
Density ... 6.34 g/cm³
Space-group type ... No. 166

```
16
Lattice="8.241 0.000 0.000 0.000 8.957 0.491 -4.121 -4.119 5.834" Properties=species:S:1:pos:R:3 pbc="T T T"
Te -2.135 2.330 6.066
Na -2.060 -2.059 2.917
Na 0.000 0.000 0.000
Te 1.986 2.508 0.259
Na 2.060 -2.059 2.917
Na 4.121 0.000 0.000
Ni 0.000 4.478 0.246
Te 4.121 0.374 3.276
Te 0.000 4.464 3.050
Te 2.135 2.330 6.066
Hf 4.121 4.478 0.246
Hf -2.060 2.419 3.163
Te 0.000 0.345 3.156
Te 4.121 4.493 3.170
Hf 2.060 2.419 3.163
Te 6.256 2.508 0.259
```



(19)
Na2InNiN: optimized geometry, GGA-PBE.

Output
Uncorrected formation energy ... 19 kJ/mol of formula units
Density ... 4.20 g/cm³
Space-group type ... No. 123

```
5
Lattice="5.115 0.000 0.000 0.000 5.115 0.000 0.000 0.000 3.532" Properties=species:S:1:pos:R:3 pbc="T T T"
In 2.558 2.558 1.766
Na 2.558 0.000 0.000
Ni 0.000 0.000 1.766
Na 0.000 2.558 0.000
N 0.000 0.000 0.000
```



(20)
SiAgGe2P4: optimized geometry, GGA-PBE.

Output
Uncorrected formation energy ... 6 kJ/mol of formula units
Density ... 4.02 g/cm³
Space-group type ... No. 42

```
8
Lattice="-3.512 -4.273 1.416 4.183 -1.717 3.486 -2.308 5.869 1.331" Properties=species:S:1:pos:R:3 pbc="T T T"
P -1.626 3.552 1.656
Ge -2.772 -0.656 2.656
P -1.923 -2.917 2.856
Ge 1.076 0.622 3.691
Si 0.334 -2.992 2.455
P -1.309 0.724 3.971
Ag -0.023 0.033 0.044
P 1.668 -1.723 3.823
```



(21)
CrCuMo2: optimized geometry, GGA-PBE.

Output
E_form ... 0.305 eV per atom
Density ... 9.06 g/cm³
Space-group type ... No. 47

```
4
Lattice="-2.294 -1.065 0.334 1.554 -3.651 -0.977 1.172 -0.893 5.197" Properties=species:S:1:pos:R:3 pbc="T T T"
Cr -0.077 -2.582 0.978
Cu 0.509 -3.028 3.576
Mo 0.583 -0.444 2.587
Mo 0.003 -0.002 0.012
```



(22)
Sm2Ni3Sn5: optimized geometry, GGA-PBE.

Output
E_form ... -0.497 eV per atom
Density ... 8.49 g/cm³
Space-group type ... No. 36

```
20
Lattice="4.341 0.000 -0.740 0.000 7.232 0.000 0.037 0.000 13.330" Properties=species:S:1:pos:R:3 pbc="T T T"
Sn 1.797 2.715 10.547
Sn 1.265 3.763 7.427
Sn 3.113 0.147 5.163
Sn 1.312 6.799 7.704
Ni 0.980 1.612 5.756
Sn 3.844 5.407 9.452
Sm 3.617 1.757 8.121
Sm 0.761 5.373 4.469
Sm 2.285 1.811 0.300
Ni 0.220 7.016 1.289
Sn 3.066 3.183 4.887
Sn 4.163 0.623 11.325
Sn 2.582 6.331 2.044
Ni 4.159 3.400 11.301
Sn 0.216 4.239 1.265
Ni 1.740 0.065 10.214
Ni 3.398 5.228 6.835
Sn 0.535 1.791 3.138
Sm 2.094 5.428 12.290
Ni 2.638 3.681 2.377
```



(23)
Mn2TlCd: optimized geometry, GGA-PBE.

Output
E_form ... 0.575 eV per atom
Density ... 9.12 g/cm³
Space-group type ... No. 216

```
4
Lattice="4.790 0.000 0.000 2.395 4.149 0.000 2.395 1.383 3.911" Properties=species:S:1:pos:R:3 pbc="T T T"
Mn 0.000 0.000 0.000
Cd 4.790 2.766 1.956
Mn 2.395 1.383 0.978
Tl 7.185 4.149 2.933
```



(24)
Sb2S3Cl: optimized geometry, GGA-PBE.

Output
Uncorrected formation energy ... -125 kJ/mol of formula units
Density ... 3.52 g/cm³
Space-group type ... No. 166

```
12
Lattice="-4.539 0.739 6.245 -3.714 -6.184 2.848 2.558 -3.154 7.048" Properties=species:S:1:pos:R:3 pbc="T T T"
Sb -4.127 -2.722 4.546
S -2.311 -3.314 10.911
Sb 0.000 0.000 0.000
Sb -2.270 0.370 3.122
Cl -4.248 -6.455 12.124
S -3.825 -1.595 7.040
S -3.385 -5.285 5.229
S 0.109 -3.708 7.583
S -5.805 -4.891 8.558
Sb -1.857 -3.092 1.424
S -1.871 -7.004 9.101
Cl -1.448 -2.144 4.017
```



(25)
ZnIn2Ru: optimized geometry, GGA-PBE.

Output
E_form ... 0.197 eV per atom
Density ... 8.56 g/cm³
Space-group type ... No. 166

```
4
Lattice="8.951 -0.022 -0.013 8.393 3.110 -0.013 8.393 1.494 2.728" Properties=species:S:1:pos:R:3 pbc="T T T"
Zn 19.302 3.437 2.026
Ru 6.434 1.146 0.675
In 25.614 4.561 2.689
In 12.991 2.313 1.364
```



(26)
ScTi3Co: optimized geometry, GGA-PBE.

Output
E_form ... 0.168 eV per atom
Density ... 4.33 g/cm³
Space-group type ... No. 221

```
5
Lattice="4.560 0.000 0.000 0.000 4.560 0.000 0.000 0.000 4.560" Properties=species:S:1:pos:R:3 pbc="T T T"
Co 0.000 0.000 0.000
Ti 0.000 0.000 2.280
Ti 0.000 2.280 0.000
Sc 2.280 2.280 2.280
Ti 2.280 0.000 0.000
```



no.,M_tot (μB per formula unit),D(E_F) (states/eV/atom)
1,2.28,1.33
2,0.00,0.33
3,3.17,0.56
4,0.00,0.56
5,2.83,0.90
6,0.00,0.92
7,0.03,2.31
8,0.00,0.35
9,0.00,0.25
10,0.00,0.71
11,0.00,0.21
12,6.57,0.69
13,1.13,1.09
14,1.07,0.95
15,0.00,1.77
16,0.00,1.26
17,0.00,0.45
18,1.32,0.45
19,0.00,0.34
20,0.00,0.24
21,0.09,0.88
22,0.00,0.33
23,7.70,1.17
24,0.00,0.23
25,0.25,0.69
26,0.00,2.26